# 1
10
Lattice="5.691 0.000 0.000 2.845 4.929 0.000 2.845 1.643 4.973" Properties=species:S:1:pos:R:3 comment="YHo2ScO6 | Alexandria via LeMat-Bulk | PBE | optimized geometry" vol_a3_per_atom=13.948 pbc="T T T"
Ho 5.691 3.286 2.085
Ho 2.845 1.643 4.613
Y 8.536 4.929 2.883
O 4.065 3.302 3.776
O 7.772 3.382 1.241
O 4.567 5.040 1.241
O 6.518 4.686 3.776
O 4.734 1.435 1.241
O 6.490 1.870 3.776
Sc 2.846 1.643 0.311

# 2
22
Lattice="-0.792 0.614 -6.328 -5.442 -2.269 2.508 -2.437 6.927 0.977" Properties=species:S:1:pos:R:3 comment="Ho3SeO7 | Alexandria via LeMat-Bulk | PBE | optimized geometry" vol_a3_per_atom=13.117 pbc="T T T"
O -4.340 4.743 -2.327
O -4.428 -0.803 -4.131
O -4.045 6.045 1.364
O -3.078 1.306 -2.897
O -6.994 3.097 2.716
O -3.130 2.913 0.842
O -1.677 2.175 -5.560
O -5.593 3.966 0.054
O -7.930 5.097 -0.972
O -0.612 0.293 -1.748
O -5.683 2.234 -3.783
O -7.002 1.973 -1.520
O -1.854 3.338 -1.425
O -4.331 0.529 -0.516
Se -0.043 -0.011 -0.026
Se -7.410 1.820 -3.306
Ho -3.352 -0.889 -2.054
Ho -3.139 0.635 1.400
Ho -2.219 5.516 -2.213
Ho -4.101 2.698 -1.278
Ho -6.478 -0.168 -0.620
Ho -5.506 4.561 -4.254

# 3
8
Lattice="-1.470 2.586 2.479 2.451 -1.932 3.468 7.292 5.922 -1.854" Properties=species:S:1:pos:R:3 comment="Ho2SeO | Alexandria via LeMat-Bulk | PBE | optimized geometry" vol_a3_per_atom=21.621 pbc="T T T"
Ho 6.065 5.493 2.106
Ho 1.723 1.868 3.312
Ho 2.853 2.955 -0.175
Ho 0.026 0.562 0.645
Se 3.881 3.631 2.752
Se 5.147 4.731 -0.668
O 3.220 0.263 2.849
O -0.308 1.249 2.754

# 4
68
Lattice="-7.734 3.893 -4.301 -3.728 -8.907 -1.359 -6.194 0.785 11.848" Properties=species:S:1:pos:R:3 comment="Ho2Se3O12 | Alexandria via LeMat-Bulk | PBE | optimized geometry" vol_a3_per_atom=18.567 de_polymorph_mev_per_atom=2 pbc="T T T"
O -10.143 -1.246 7.654
O -6.151 -2.706 5.031
O -4.139 -1.621 2.837
O -13.011 -5.195 6.416
O -9.929 -1.072 -0.979
O -9.757 3.070 0.001
O -7.513 -2.983 -1.466
O -4.646 0.966 -0.229
O -11.505 -1.523 1.157
O -10.557 -4.440 7.237
O -11.503 -3.306 -0.901
O -6.729 -5.367 -0.487
O -12.707 -0.418 8.024
O -4.890 -4.772 3.064
O -8.154 -1.913 10.023
O -7.931 -3.972 2.707
O -4.109 -7.138 -0.455
O -8.661 -4.942 9.717
O -6.661 2.785 -0.238
O -13.201 -4.549 1.468
O -7.227 -0.967 2.635
O -1.973 -0.714 -0.005
O -4.455 0.320 4.720
O -5.633 1.926 -2.574
O -13.547 2.910 6.643
O -10.430 -3.262 3.553
O -4.949 -3.811 -1.836
O -7.900 -7.299 6.187
O -7.099 0.211 -1.050
O -5.770 -3.055 0.614
O -3.085 0.875 2.470
O -12.023 -6.155 8.762
O -10.927 1.139 6.674
O -14.571 -5.104 3.718
O -8.995 0.713 -3.530
O -15.683 -3.515 6.193
O -7.727 -3.157 7.167
O -10.075 -4.926 1.408
O -9.502 -2.316 -3.835
O -10.996 -7.014 6.426
O -8.136 1.524 2.236
O -9.520 -5.753 3.952
O -9.725 -0.257 3.481
O -6.153 -0.923 7.089
O -11.886 -1.173 5.574
O -12.766 0.543 3.123
O -7.582 0.697 4.780
O -13.517 -2.608 3.351
Ho -9.403 -3.117 8.641
Ho -11.760 -5.354 -0.012
Ho -11.636 -1.377 3.365
Ho -6.020 -2.852 2.823
Ho -8.253 -1.112 -2.453
Ho -5.896 1.125 6.200
Ho -6.259 -7.508 -0.987
Ho -11.397 3.279 7.175
Se -6.268 -2.530 6.678
Se -6.240 -3.808 -0.791
Se -11.642 -5.700 7.210
Se -11.388 -1.699 -0.491
Se -1.194 -2.095 -0.485
Se -9.499 -4.473 2.900
Se -14.228 -3.915 2.609
Se -10.269 -2.919 -5.175
Se -3.429 -0.314 3.578
Se -8.157 0.244 3.288
Se -11.416 -0.421 6.978
Se -6.014 1.471 -1.023

# 5
34
Lattice="9.997 0.050 0.035 5.330 8.458 0.035 5.330 2.959 7.924" Properties=species:S:1:pos:R:3 comment="Ho2Se3O12 | Alexandria via LeMat-Bulk | PBE | optimized geometry" vol_a3_per_atom=19.587 de_polymorph_mev_per_atom=0 pbc="T T T"
O 12.114 5.931 6.334
O 13.431 8.771 6.905
O 13.542 6.247 0.692
O 6.110 2.650 4.040
O 14.547 8.817 3.953
O 11.441 8.414 4.512
O 7.226 2.696 1.088
O 9.549 9.485 2.943
O 11.109 1.460 2.372
O 7.116 5.220 7.301
O 10.479 6.559 0.112
O 11.109 1.982 5.050
O 7.558 7.637 6.115
O 9.548 10.006 5.621
O 13.100 3.829 1.878
O 5.480 5.099 2.153
O 10.178 4.908 7.881
O 9.217 3.052 3.481
O 13.192 6.052 3.373
O 8.543 5.536 1.659
O 7.465 5.414 4.620
O 12.464 3.482 7.443
O 15.177 6.367 5.840
O 8.193 7.984 0.550
Se 8.833 6.471 0.320
Se 6.826 6.153 5.960
Se 10.163 1.709 3.711
Se 11.825 4.996 7.673
Se 10.494 9.757 4.282
Se 13.831 5.313 2.033
Ho 7.347 4.078 2.843
Ho 2.981 1.655 1.154
Ho 17.676 9.811 6.840
Ho 13.310 7.388 5.150

# 6
26
Lattice="2.634 -7.844 0.887 6.045 -2.943 -4.937 7.680 -1.260 5.084" Properties=species:S:1:pos:R:3 comment="HoSe3O9 | Alexandria via LeMat-Bulk | PBE | optimized geometry" vol_a3_per_atom=19.076 pbc="T T T"
O 10.290 -8.211 5.163
O 7.234 -5.270 -3.147
O 8.938 -7.068 2.162
O 4.971 -2.380 -1.466
O 6.743 -5.727 -0.489
O 11.145 -8.347 0.105
O 9.794 -4.750 3.394
O 6.106 -2.482 3.651
O 8.093 -6.473 4.701
O 4.425 -6.314 1.994
O 11.767 -9.843 2.229
O 5.182 -3.488 0.969
O 7.225 -4.950 2.646
O 9.218 -6.313 -1.535
O 7.095 -7.841 -2.133
O 11.494 -3.949 0.857
O 4.964 -8.274 0.260
O 7.430 -2.972 -0.536
Se 3.822 -7.752 1.371
Se 7.580 -6.259 -1.890
Se 10.469 -9.211 1.373
Se 5.770 -3.602 -0.596
Se 8.540 -5.841 3.169
Se 14.635 -11.668 0.153
Ho 11.139 -7.399 -1.912
Ho 3.026 -1.576 -2.407

| no. | formation energy without anion corrections (meV per atom) |
| --- | --- |
| 1 | -3524.8 |
| 2 | -2644.2 |
| 3 | -2154.4 |
| 4 | -1592.3 |
| 5 | -1594.7 |
| 6 | -1179.0 |